Compound: Sm4Hg3
Source: the Alexandria database
Functional: PBE
Structure: optimized geometry

Energy relative to the lowest polymorph listed for this composition ... 1.01 eV/f.u.
D(E_F) ... 1.720 states/eV per atom
Density ... 9.01 g/cm3
Space group ... No. 166
E ... -20.98 eV for the cell shown

Lattice parameters (Å, degrees): 5.1287 5.1287 10.1799 75.41 75.41 60.00
Positions (direct):
Sm1 0.1228 0.1228 0.6317
Sm2 0.7054 0.7054 0.8839
Hg1 0.3995 0.3995 0.8016
Hg2 0.6005 0.6005 0.1984
Hg3 0.5000 0.5000 0.5000
Sm3 0.8772 0.8772 0.3683
Sm4 0.2946 0.2946 0.1161

Compound: NiRh2Br
Source: the Alexandria database
Functional: PBE
Structure: optimized geometry

Energy relative to the lowest polymorph listed for this composition ... 1.02 eV/f.u.
D(E_F) ... 2.073 states/eV per atom
Density ... 9.54 g/cm3
Space group ... No. 123
E ... -19.72 eV for the cell shown

Lattice parameters (Å, degrees): 2.9594 4.5003 4.5003 90.00 90.00 90.00
Each line ends with the local moment (μB).
Positions (direct):
Ni1 0.5000 0.0000 0.5000  0.91
Rh1 0.0000 0.5000 0.5000  0.62
Rh2 0.0000 0.0000 0.0000  0.62
Br1 0.5000 0.5000 0.0000  0.06

Compound: Pr4Tl5Rh2
Source: the Alexandria database
Functional: PBE
Structure: optimized geometry

D(E_F) ... 0.738 states/eV per atom
Density ... 9.81 g/cm3
Space group ... No. 10
E ... -50.66 eV for the cell shown

Lattice parameters (Å, degrees): 3.8303 8.0741 9.8298 93.75 90.00 90.00
Positions (direct):
Pr1 0.5000 0.7850 0.5680
Pr2 0.5000 0.8133 0.1576
Tl1 0.0000 0.5472 0.3356
Tl2 0.0000 0.1560 0.1405
Tl3 0.0000 0.5000 0.0000
Tl4 0.0000 0.8440 0.8595
Pr3 0.5000 0.2150 0.4320
Tl5 0.0000 0.4528 0.6644
Rh1 0.0000 0.9211 0.3644
Pr4 0.5000 0.1867 0.8424
Rh2 0.0000 0.0789 0.6356

Compound: PmYZnBi
Source: the Alexandria database
Functional: PBE
Structure: optimized geometry

D(E_F) ... 0.738 states/eV per atom
Density ... 7.79 g/cm3
Space group ... No. 216
E ... -18.11 eV for the cell shown

Lattice parameters (Å, degrees): 5.3504 5.3504 5.3504 60.00 60.00 60.00
Positions (direct):
Pm1 0.2500 0.2500 0.2500
Bi1 0.5000 0.5000 0.5000
Zn1 0.0000 0.0000 0.0000
Y1 0.7500 0.7500 0.7500